Record 1
First-principles (PBE) data for an optimized crystal structure of Re2HgPb2, as listed in Alexandria.

POSCAR file:
```
Re2HgPb2
1.0
7.0324 0.0000 0.0000
0.0000 7.0324 0.0000
0.0000 0.0000 4.4108
Re Hg Pb
4 2 4
direct
0.1198 0.3802 0.0000
0.3802 0.8802 0.0000
0.6198 0.1198 0.0000
0.8802 0.6198 0.0000
0.0000 0.0000 0.0000
0.5000 0.5000 0.0000
0.1740 0.6740 0.5000
0.3260 0.1740 0.5000
0.6740 0.8260 0.5000
0.8260 0.3260 0.5000
```

Properties
Total moment ... 0.00 Bohr magnetons per cell
Excess energy over the best structure of this formula in the dataset ... 0.000 eV/atom
DOS(E_F) ... 6.541 states/eV/cell
Electronic total energy ... -0.4176 Ry/atom
E_form ... 841 meV per atom



Record 2
First-principles (PBE) data for an optimized crystal structure of ReHgPb2, as listed in Alexandria.

POSCAR file:
```
ReHgPb2
1.0
-2.3092 2.3092 4.3917
2.3092 -2.3092 4.3917
2.3092 2.3092 -4.3917
Re Hg Pb
1 1 2
direct
0.0000 0.0000 0.0000
0.5000 0.5000 0.0000
0.2500 0.7500 0.5000
0.7500 0.2500 0.5000
```

Properties
Total moment ... 1.76 Bohr magnetons per cell
DOS(E_F) ... 2.451 states/eV/cell
Electronic total energy ... -0.2995 Ry/atom
E_form ... 967 meV per atom



Record 3
First-principles (PBE) data for an optimized crystal structure of ReHgPb2, as listed in Alexandria.

POSCAR file:
```
ReHgPb2
1.0
3.4360 0.0000 0.0000
0.0000 4.9694 0.0000
0.0000 0.0000 5.4411
Re Hg Pb
1 1 2
direct
0.0000 0.0000 0.0000
0.5000 0.0000 0.5000
0.0000 0.5000 0.5000
0.5000 0.5000 0.0000
```

Properties
Total moment ... 1.06 Bohr magnetons per cell
DOS(E_F) ... 3.257 states/eV/cell
Electronic total energy ... -0.2939 Ry/atom
E_form ... 1043 meV per atom